Entry 1:
This record from the Alexandria database describes crystalline CeTh3Te4 at its relaxed geometry. The functional is GGA-PBE.

Geometry as POSCAR:
```
CeTh3Te4
1.0
4.4697 0.0000 0.0000
0.0000 4.4697 0.0000
0.0000 0.0000 12.6279
Ce Th Te
1 3 4
direct
0.0000 0.0000 0.0000
0.0000 0.0000 0.5000
0.5000 0.5000 0.2512
0.5000 0.5000 0.7488
0.0000 0.0000 0.2490
0.0000 0.0000 0.7510
0.5000 0.5000 0.0000
0.5000 0.5000 0.5000
```

Values from the calculation:
Crystal system: tetragonal
ρ: 8.9 Mg/m³
Energy: -6.201 eV/atom
Space-group type: P4/mmm (123)

Entry 2:
This record from the Alexandria database describes crystalline Ce2Th2Te7 at its relaxed geometry. The functional is GGA-PBE.

Geometry as POSCAR:
```
Ce2Th2Te7
1.0
-2.2164 8.0950 4.9583
2.2164 -8.0950 4.9583
2.2164 8.0950 -4.9583
Ce Th Te
2 2 7
direct
0.2357 0.0000 0.2357
0.7643 0.0000 0.7643
0.3166 0.8166 0.5000
0.7648 0.7648 0.0000
0.0231 0.7048 0.3183
0.0814 0.0814 0.0000
0.3785 0.4879 0.8906
0.3865 0.7048 0.6817
0.5973 0.4879 0.1094
0.6688 0.3078 0.3610
0.9468 0.3078 0.6390
```

Values from the calculation:
Crystal system: orthorhombic
ρ: 7.6 Mg/m³
E above lowest polymorph: 0.00 eV per formula unit
Space-group type: Imm2 (44)

Entry 3:
This record from the Alexandria database describes crystalline CeThTe3 at its relaxed geometry. The functional is GGA-PBE.

Geometry as POSCAR:
```
CeThTe3
1.0
7.7201 -6.5197 0.0000
7.7201 6.5197 0.0000
-1.4562 0.0000 7.4409
Ce Th Te
4 4 12
direct
0.1631 0.3328 0.3257
0.3328 0.1631 0.8257
0.6672 0.8369 0.1743
0.8369 0.6672 0.6743
0.2396 0.7604 0.2500
0.4256 0.5744 0.7500
0.5744 0.4256 0.2500
0.7604 0.2396 0.7500
0.0460 0.1881 0.9580
0.1308 0.6320 0.5437
0.1881 0.0460 0.4580
0.2785 0.4658 0.0286
0.3680 0.8692 0.9563
0.4658 0.2785 0.5286
0.5342 0.7215 0.4714
0.6320 0.1308 0.0437
0.7215 0.5342 0.9714
0.8119 0.9540 0.5420
0.8692 0.3680 0.4563
0.9540 0.8119 0.0420
```

Values from the calculation:
Crystal system: monoclinic
ρ: 6.7 Mg/m³
E above lowest polymorph: 0.77 eV per formula unit
Space-group type: C2/c (15)

Entry 4:
This record from the Alexandria database describes crystalline Ce3Th4Te8 at its relaxed geometry. The functional is GGA-PBE.

Geometry as POSCAR:
```
Ce3Th4Te8
1.0
6.2823 -6.2897 0.0000
6.2823 6.2897 0.0000
-6.2418 0.0000 6.2954
Ce Th Te
3 4 8
direct
0.0000 0.0000 0.0000
0.0000 0.5000 0.0000
0.5000 0.0000 0.0000
0.0000 0.5000 0.5000
0.5000 0.0000 0.5000
0.5000 0.5000 0.0000
0.5000 0.5000 0.5000
0.2391 0.2391 0.4993
0.2408 0.7592 0.5000
0.2419 0.2419 0.9845
0.2491 0.7509 0.0000
0.7509 0.2491 0.0000
0.7581 0.7581 0.0155
0.7592 0.2408 0.5000
0.7609 0.7609 0.5007
```

Values from the calculation:
Crystal system: monoclinic
ρ: 7.9 Mg/m³
Energy: -6.056 eV/atom
Space-group type: C2/m (12)

Entry 5:
This record from the Alexandria database describes crystalline CeTh2Te4 at its relaxed geometry. The functional is GGA-PBE.

Geometry as POSCAR:
```
CeTh2Te4
1.0
2.1366 -7.1360 0.0000
2.1366 7.1360 0.0000
0.0000 0.0000 15.7527
Ce Th Te
2 4 8
direct
0.1054 0.8946 0.7500
0.8946 0.1054 0.2500
0.3517 0.6483 0.5610
0.3517 0.6483 0.9390
0.6483 0.3517 0.0610
0.6483 0.3517 0.4390
0.0000 0.0000 0.0000
0.0000 0.0000 0.5000
0.2899 0.7101 0.1331
0.2899 0.7101 0.3669
0.4380 0.5620 0.7500
0.5620 0.4380 0.2500
0.7101 0.2899 0.6331
0.7101 0.2899 0.8669
```

Values from the calculation:
Crystal system: orthorhombic
ρ: 7.7 Mg/m³
E above lowest polymorph: 0.32 eV per formula unit
Space-group type: Cmcm (63)

Entry 6:
This record from the Alexandria database describes crystalline Ce2ThTe4 at its relaxed geometry. The functional is GGA-PBE.

Geometry as POSCAR:
```
Ce2ThTe4
1.0
-4.7447 4.7447 4.7424
4.7447 -4.7447 4.7424
4.7447 4.7447 -4.7424
Ce Th Te
4 2 8
direct
0.0023 0.1250 0.3773
0.3750 0.9977 0.1227
0.7477 0.6250 0.6227
0.8750 0.2523 0.8773
0.2500 0.7500 0.5000
0.5000 0.5000 0.0000
0.1262 0.5287 0.7492
0.1270 0.0295 0.7508
0.2787 0.3762 0.2492
0.4713 0.2205 0.5975
0.6230 0.8738 0.4025
0.6238 0.8730 0.9025
0.7795 0.3770 0.2508
0.9705 0.7213 0.0975
```

Values from the calculation:
Crystal system: tetragonal
ρ: 8.0 Mg/m³
E above lowest polymorph: 0.00 eV per formula unit
Space-group type: I-42d (122)

Entry 7:
This record from the Alexandria database describes crystalline CeTh3Te6 at its relaxed geometry. The functional is GGA-PBE.

Geometry as POSCAR:
```
CeTh3Te6
1.0
11.6857 0.0000 0.0000
0.0000 4.2491 0.0000
-3.5388 0.0000 13.3092
Ce Th Te
2 6 12
direct
0.0409 0.2500 0.2010
0.9591 0.7500 0.7990
0.1277 0.2500 0.5729
0.3182 0.7500 0.9781
0.3723 0.2500 0.3600
0.6277 0.7500 0.6400
0.6818 0.2500 0.0219
0.8723 0.7500 0.4271
0.1125 0.2500 0.9571
0.1451 0.7500 0.4006
0.2035 0.7500 0.7432
0.2453 0.7500 0.1891
0.4171 0.2500 0.5974
0.4735 0.2500 0.1272
0.5265 0.7500 0.8728
0.5829 0.7500 0.4026
0.7547 0.2500 0.8109
0.7965 0.2500 0.2568
0.8549 0.2500 0.5994
0.8875 0.7500 0.0429
```

Values from the calculation:
Crystal system: monoclinic
ρ: 8.0 Mg/m³
Energy: -5.890 eV/atom
Space-group type: P2_1/m (11)

Entry 8:
This record from the Alexandria database describes crystalline Ce3ThTe4 at its relaxed geometry. The functional is GGA-PBE.

Geometry as POSCAR:
```
Ce3ThTe4
1.0
4.5153 -6.3315 0.0000
4.5153 6.3315 0.0000
0.0000 0.0000 4.4377
Ce Th Te
3 1 4
direct
0.0000 0.0000 0.0000
0.0000 0.5000 0.5000
0.5000 0.0000 0.5000
0.5000 0.5000 0.0000
0.2487 0.2487 0.5000
0.2495 0.7505 0.0000
0.7505 0.2495 0.0000
0.7513 0.7513 0.5000
```

Values from the calculation:
Crystal system: orthorhombic
ρ: 7.6 Mg/m³
Energy: -6.001 eV/atom
Space-group type: Cmmm (65)

Q: Which value of ρ does entry 4 give?
A: 7.9 Mg/m³